A.
Material: LiCa2Ti
Method: DFT, PBE-GGA
State: optimized geometry

Space-group type: R-3m

Unit cell a=3.376 b=3.376 c=35.383 alpha=90.00 beta=90.00 gamma=120.00
Positions (direct):
Li (0.000, 0.000, 0.000)
Li (0.333, 0.667, 0.667)
Li (0.667, 0.333, 0.333)
Ca (0.000, 0.000, 0.415)
Ca (0.000, 0.000, 0.585)
Ca (0.333, 0.667, 0.082)
Ca (0.333, 0.667, 0.252)
Ca (0.667, 0.333, 0.748)
Ca (0.667, 0.333, 0.918)
Ti (0.000, 0.000, 0.500)
Ti (0.333, 0.667, 0.167)
Ti (0.667, 0.333, 0.833)

B.
Material: LiCa2Ti
Method: DFT, PBE-GGA
State: optimized geometry

Space-group type: I-42d

Unit cell a=8.375 b=8.375 c=6.594 alpha=90.00 beta=90.00 gamma=90.00
Positions (direct):
Li (0.000, 0.000, 0.000)
Li (0.000, 0.500, 0.250)
Li (0.500, 0.000, 0.750)
Li (0.500, 0.500, 0.500)
Ca (0.225, 0.750, 0.125)
Ca (0.250, 0.225, 0.875)
Ca (0.250, 0.275, 0.375)
Ca (0.275, 0.750, 0.625)
Ca (0.725, 0.250, 0.625)
Ca (0.750, 0.725, 0.375)
Ca (0.750, 0.775, 0.875)
Ca (0.775, 0.250, 0.125)
Ti (0.000, 0.000, 0.500)
Ti (0.000, 0.500, 0.750)
Ti (0.500, 0.000, 0.250)
Ti (0.500, 0.500, 0.000)

C.
Material: LiCa2Ti
Method: DFT, PBE-GGA
State: optimized geometry

Space-group type: Fm-3m

Unit cell a=7.820 b=7.820 c=7.820 alpha=90.00 beta=90.00 gamma=90.00
Positions (direct):
Li (0.000, 0.000, 0.000)
Li (0.000, 0.500, 0.500)
Li (0.500, 0.000, 0.500)
Li (0.500, 0.500, 0.000)
Ca (0.250, 0.250, 0.250)
Ca (0.250, 0.250, 0.750)
Ca (0.250, 0.750, 0.250)
Ca (0.250, 0.750, 0.750)
Ca (0.750, 0.250, 0.250)
Ca (0.750, 0.250, 0.750)
Ca (0.750, 0.750, 0.250)
Ca (0.750, 0.750, 0.750)
Ti (0.000, 0.000, 0.500)
Ti (0.000, 0.500, 0.000)
Ti (0.500, 0.000, 0.000)
Ti (0.500, 0.500, 0.500)

Short version: C is the most stable of them.

A.
Material: Li2CaTi
Method: DFT, PBE-GGA
State: optimized geometry

Space-group type: I-42d

Unit cell a=7.951 b=7.951 c=6.179 alpha=90.00 beta=90.00 gamma=90.00
Positions (direct):
Li (0.230, 0.750, 0.125)
Li (0.250, 0.230, 0.875)
Li (0.250, 0.270, 0.375)
Li (0.270, 0.750, 0.625)
Li (0.730, 0.250, 0.625)
Li (0.750, 0.730, 0.375)
Li (0.750, 0.770, 0.875)
Li (0.770, 0.250, 0.125)
Ca (0.000, 0.000, 0.500)
Ca (0.000, 0.500, 0.750)
Ca (0.500, 0.000, 0.250)
Ca (0.500, 0.500, 0.000)
Ti (0.000, 0.000, 0.000)
Ti (0.000, 0.500, 0.250)
Ti (0.500, 0.000, 0.750)
Ti (0.500, 0.500, 0.500)

B.
Material: Li2CaTi
Method: DFT, PBE-GGA
State: optimized geometry

Space-group type: Fm-3m

Unit cell a=7.119 b=7.119 c=7.119 alpha=90.00 beta=90.00 gamma=90.00
Positions (direct):
Li (0.250, 0.250, 0.250)
Li (0.250, 0.250, 0.750)
Li (0.250, 0.750, 0.250)
Li (0.250, 0.750, 0.750)
Li (0.750, 0.250, 0.250)
Li (0.750, 0.250, 0.750)
Li (0.750, 0.750, 0.250)
Li (0.750, 0.750, 0.750)
Ca (0.000, 0.000, 0.000)
Ca (0.000, 0.500, 0.500)
Ca (0.500, 0.000, 0.500)
Ca (0.500, 0.500, 0.000)
Ti (0.000, 0.000, 0.500)
Ti (0.000, 0.500, 0.000)
Ti (0.500, 0.000, 0.000)
Ti (0.500, 0.500, 0.500)

Short version: B is the most stable of them.

A.
Material: LiCa2Tl2
Method: DFT, PBE-GGA
State: optimized geometry

Space-group type: Immm

Unit cell a=4.669 b=6.442 c=9.720 alpha=90.00 beta=90.00 gamma=90.00
Positions (direct):
Li (0.000, 0.000, 0.000)
Li (0.500, 0.500, 0.500)
Ca (0.000, 0.500, 0.198)
Ca (0.000, 0.500, 0.802)
Ca (0.500, 0.000, 0.302)
Ca (0.500, 0.000, 0.698)
Tl (0.000, 0.245, 0.500)
Tl (0.000, 0.755, 0.500)
Tl (0.500, 0.255, 0.000)
Tl (0.500, 0.745, 0.000)

B.
Material: LiCa2Tl2
Method: DFT, PBE-GGA
State: optimized geometry

Space-group type: P4/mbm

Unit cell a=7.966 b=7.966 c=4.671 alpha=90.00 beta=90.00 gamma=90.00
Positions (direct):
Li (0.000, 0.000, 0.000)
Li (0.500, 0.500, 0.000)
Ca (0.162, 0.338, 0.500)
Ca (0.338, 0.838, 0.500)
Ca (0.662, 0.162, 0.500)
Ca (0.838, 0.662, 0.500)
Tl (0.143, 0.643, 0.000)
Tl (0.357, 0.143, 0.000)
Tl (0.643, 0.857, 0.000)
Tl (0.857, 0.357, 0.000)

Short version: A is the most stable of them.

A.
Material: LiCa2Tl2
Method: DFT, PBE-GGA
State: optimized geometry

Space-group type: P4/mbm

Unit cell a=8.966 b=8.966 c=3.827 alpha=90.00 beta=90.00 gamma=90.00
Positions (direct):
Li (0.000, 0.000, 0.000)
Li (0.500, 0.500, 0.000)
Ca (0.151, 0.349, 0.000)
Ca (0.349, 0.849, 0.000)
Ca (0.651, 0.151, 0.000)
Ca (0.849, 0.651, 0.000)
Tl (0.147, 0.647, 0.500)
Tl (0.353, 0.147, 0.500)
Tl (0.647, 0.853, 0.500)
Tl (0.853, 0.353, 0.500)

B.
Material: LiCa2Tl2
Method: DFT, PBE-GGA
State: optimized geometry

Space-group type: I4/mmm

Unit cell a=4.872 b=4.872 c=14.321 alpha=90.00 beta=90.00 gamma=90.00
Positions (direct):
Li (0.000, 0.000, 0.000)
Li (0.500, 0.500, 0.500)
Ca (0.000, 0.500, 0.250)
Ca (0.000, 0.500, 0.750)
Ca (0.500, 0.000, 0.250)
Ca (0.500, 0.000, 0.750)
Tl (0.000, 0.000, 0.401)
Tl (0.000, 0.000, 0.599)
Tl (0.500, 0.500, 0.099)
Tl (0.500, 0.500, 0.901)

Short version: A is the most stable of them.